No. 1
PuGaPd2: relaxed, PBE.

Summary:
**V**: 305 Å³ per cell
**Final energy**: -120.6 eV/cell
**Symmetry**: No. 62

Cell lengths 7.4233, 7.1317, 5.7523 Å; angles 90.00, 90.00, 90.00 degrees
Last column: magnetic moment on the atom in μB.
Element x y z (fractional)
Ga (0.6154, 0.2500, 0.1488)  0.00
Ga (0.1154, 0.2500, 0.3512)  0.00
Ga (0.8846, 0.7500, 0.6488)  0.00
Ga (0.3846, 0.7500, 0.8512)  0.00
Pd (0.3179, 0.0514, 0.0848)  -0.03
Pd (0.3179, 0.4486, 0.0848)  -0.03
Pd (0.8179, 0.0514, 0.4152)  -0.03
Pd (0.8179, 0.4486, 0.4152)  -0.03
Pd (0.1821, 0.5514, 0.5848)  -0.03
Pd (0.1821, 0.9486, 0.5848)  -0.03
Pd (0.6821, 0.5514, 0.9153)  -0.03
Pd (0.6821, 0.9486, 0.9153)  -0.03
Pu (0.0290, 0.7500, 0.1441)  5.19
Pu (0.5290, 0.7500, 0.3559)  5.25
Pu (0.4710, 0.2500, 0.6441)  5.25
Pu (0.9710, 0.2500, 0.8559)  5.19

No. 2
ZnMoPd: relaxed, PBE.

Summary:
**V**: 52 Å³ per cell
**Calculated formation energy**: 0.325 eV/atom
**Final energy**: -16.3 eV/cell
**Symmetry**: No. 216

Cell lengths 4.1883, 4.1883, 4.1883 Å; angles 60.00, 60.00, 60.00 degrees
Element x y z (fractional)
Mo (0.2500, 0.2500, 0.2500)
Pd (0.0000, 0.0000, 0.0000)
Zn (0.7500, 0.7500, 0.7500)

No. 3
PrAlZn2Ga: relaxed, PBE.

Summary:
**V**: 97 Å³ per cell
**Final energy**: -16.4 eV/cell
**Symmetry**: No. 119

Cell lengths 6.2033, 6.2033, 6.2033 Å; angles 140.22, 140.22, 57.52 degrees
Element x y z (fractional)
Al (0.5000, 0.5000, 0.0000)
Ga (0.0000, 0.0000, 0.0000)
Pr (0.2500, 0.7500, 0.5000)
Zn (0.6375, 0.1375, 0.5000)
Zn (0.8625, 0.3625, 0.5000)

No. 4
YErHg6: relaxed, PBE.

Summary:
**V**: 187 Å³ per cell
**Calculated formation energy**: -0.331 eV/atom
**Final energy**: -15.5 eV/cell
**Symmetry**: No. 38

Cell lengths 4.8647, 6.4921, 6.4921 Å; angles 65.82, 90.00, 90.00 degrees
Element x y z (fractional)
Er (0.0000, 0.8582, 0.8582)
Hg (0.5000, 0.6373, 0.1764)
Hg (0.0000, 0.3256, 0.3256)
Hg (0.0000, 0.8203, 0.3641)
Hg (0.5000, 0.1764, 0.6373)
Hg (0.5000, 0.6761, 0.6761)
Hg (0.0000, 0.3641, 0.8203)
Y (0.5000, 0.1420, 0.1420)

No. 5
SrMgZrPd: relaxed, PBE.

Summary:
**V**: 96 Å³ per cell
**Final energy**: -16.9 eV/cell
**Symmetry**: No. 216

Cell lengths 5.1360, 5.1360, 5.1360 Å; angles 60.00, 60.00, 60.00 degrees
Element x y z (fractional)
Mg (0.7500, 0.7500, 0.7500)
Pd (0.2500, 0.2500, 0.2500)
Sr (0.5000, 0.5000, 0.5000)
Zr (0.0000, 0.0000, 0.0000)

No. 6
Tb2TmAl3CuAg2: relaxed, PBE.

Summary:
**V**: 186 Å³ per cell
**Final energy**: -38.3 eV/cell
**Symmetry**: No. 38

Cell lengths 4.0935, 7.2292, 7.2292 Å; angles 119.78, 90.00, 90.00 degrees
Element x y z (fractional)
Ag (0.5000, 0.6630, 0.3358)
Ag (0.5000, 0.3358, 0.6630)
Al (0.5000, 0.2283, 0.0005)
Al (0.5000, 0.0005, 0.2283)
Al (0.5000, 0.7729, 0.7729)
Cu (0.0000, 0.0028, 0.0028)
Tb (0.0000, 0.5965, 0.0000)
Tb (0.0000, 0.0000, 0.5965)
Tm (0.0000, 0.4002, 0.4002)

No. 7
LaUB: relaxed, PBE.

Summary:
**V**: 62 Å³ per cell
**Final energy**: -21.4 eV/cell
**Symmetry**: No. 216

Cell lengths 4.4533, 4.4533, 4.4533 Å; angles 60.00, 60.00, 60.00 degrees
Last column: magnetic moment on the atom in μB.
Element x y z (fractional)
B (0.0000, 0.0000, 0.0000)  -0.06
La (0.2500, 0.2500, 0.2500)  0.09
U (0.7500, 0.7500, 0.7500)  1.68

No. 8
SmHo2S3: relaxed, PBE.

Summary:
**V**: 128 Å³ per cell
**Final energy**: -38.2 eV/cell
**Symmetry**: No. 164

Cell lengths 3.9124, 3.9124, 9.6456 Å; angles 90.00, 90.00, 120.00 degrees
Element x y z (fractional)
Ho (0.3333, 0.6667, 0.1649)
Ho (0.6667, 0.3333, 0.8351)
S (0.0000, 0.0000, 0.0000)
S (0.6667, 0.3333, 0.3237)
S (0.3333, 0.6667, 0.6763)
Sm (0.0000, 0.0000, 0.5000)